Version 1
Li3ScTl3 | PBE | relaxed

Lattice parameters (Å, degrees): 6.931 6.931 6.548 90.00 90.00 92.25
Atoms (fractional coordinates):
Li1 0.178 0.822 0.000
Li2 0.252 0.748 0.500
Li3 0.253 0.253 0.000
Li4 0.747 0.747 0.000
Li5 0.748 0.252 0.500
Li6 0.822 0.178 0.000
Sc1 0.210 0.210 0.500
Sc2 0.790 0.790 0.500
Tl1 0.000 0.500 0.242
Tl2 0.000 0.500 0.758
Tl3 0.500 0.000 0.242
Tl4 0.500 0.000 0.758
Tl5 0.500 0.500 0.251
Tl6 0.500 0.500 0.749

Properties
Volume: 314 Å³ per cell
Fermi-level density of states: 0.689 states/eV/atom
M_tot: 0.168 μB per formula unit

---

Version 2
Li3ScTl3 | PBE | relaxed

Lattice parameters (Å, degrees): 7.135 7.135 7.135 90.00 90.00 90.00
Atoms (fractional coordinates):
Li1 0.000 0.250 0.500
Li2 0.000 0.750 0.500
Li3 0.250 0.500 0.000
Li4 0.500 0.000 0.250
Li5 0.500 0.000 0.750
Li6 0.750 0.500 0.000
Sc1 0.000 0.000 0.000
Sc2 0.500 0.500 0.500
Tl1 0.000 0.500 0.250
Tl2 0.000 0.500 0.750
Tl3 0.250 0.000 0.500
Tl4 0.500 0.250 0.000
Tl5 0.500 0.750 0.000
Tl6 0.750 0.000 0.500

Properties
Volume: 363 Å³ per cell
Fermi-level density of states: 0.654 states/eV/atom
M_tot: 0.000 μB per formula unit

---

The least stable of the structures above is version 2, whereas version 1 is the most stable.